No. 1
# In2Ni7GeP2

An optimized crystal structure of In2Ni7GeP2 (GGA-PBE, the Alexandria database).

Output
For the density of states at the Fermi level, the calculation gives 14.4 states/eV per cell. The energy comes out at -5.360 eV per atom.

Geometry as CIF:
```
data_In2Ni7GeP2
_chemical_formula_sum 'In4 Ni14 Ge2 P4'
_space_group_name_H-M_alt 'C 1 2/m 1'
_space_group_IT_number 12
_cell_length_a 5.223
_cell_length_b 5.182
_cell_length_c 12.489
_cell_angle_alpha 90.00
_cell_angle_beta 99.48
_cell_angle_gamma 90.00
loop_
_space_group_symop_operation_xyz
'x,y,z'
'-x,-y,-z'
'-x,y,-z'
'x,-y,z'
'x+1/2,y+1/2,z'
'-x+1/2,-y+1/2,-z'
'-x+1/2,y+1/2,-z'
'x+1/2,-y+1/2,z'
loop_
_atom_site_label
_atom_site_fract_x
_atom_site_fract_y
_atom_site_fract_z
_atom_site_occupancy
In1 0.109 0.000 0.377 1
Ni1 0.000 0.500 0.000 1
Ni2 0.125 0.500 0.421 1
Ni3 0.193 0.248 0.857 1
Ge1 0.000 0.000 0.000 1
P1 0.092 0.500 0.244 1
```


No. 2
# PaInNi5Ge2

An optimized crystal structure of PaInNi5Ge2 (GGA-PBE, the Alexandria database).

Output
For the density of states at the Fermi level, the calculation gives 4.1 states/eV per cell. The energy comes out at -5.804 eV per atom.

Geometry as CIF:
```
data_PaInNi5Ge2
_chemical_formula_sum 'Pa1 In1 Ni5 Ge2'
_space_group_name_H-M_alt 'P 4/m m m'
_space_group_IT_number 123
_space_group_name_Hall '-P 4 2'
_cell_length_a 4.329
_cell_length_b 4.329
_cell_length_c 7.549
_cell_angle_alpha 90.00
_cell_angle_beta 90.00
_cell_angle_gamma 90.00
loop_
_atom_site_label
_atom_site_fract_x
_atom_site_fract_y
_atom_site_fract_z
_atom_site_occupancy
Pa1 0.000 0.000 0.000 1
In1 0.000 0.000 0.500 1
Ni1 0.000 0.500 0.211 1
Ni2 0.500 0.500 0.000 1
Ge1 0.500 0.500 0.335 1
```


No. 3
# Pm2InNi4Ge3

An optimized crystal structure of Pm2InNi4Ge3 (GGA-PBE, the Alexandria database).

Output
For the density of states at the Fermi level, the calculation gives 5.1 states/eV per cell. The energy comes out at -5.529 eV per atom.

Geometry as CIF:
```
data_Pm2InNi4Ge3
_chemical_formula_sum 'Pm2 In1 Ni4 Ge3'
_space_group_name_H-M_alt 'P -4 m 2'
_space_group_IT_number 115
_cell_length_a 4.179
_cell_length_b 4.179
_cell_length_c 10.001
_cell_angle_alpha 90.00
_cell_angle_beta 90.00
_cell_angle_gamma 90.00
loop_
_space_group_symop_operation_xyz
'x,y,z'
'y,-x,-z'
'-x,-y,z'
'-y,x,-z'
'-x,y,z'
'-y,-x,-z'
'x,-y,z'
'y,x,-z'
loop_
_atom_site_label
_atom_site_fract_x
_atom_site_fract_y
_atom_site_fract_z
_atom_site_occupancy
Pm1 0.000 0.500 0.238 1
In1 0.000 0.000 0.500 1
Ni1 0.000 0.000 0.000 1
Ni2 0.000 0.500 0.645 1
Ni3 0.500 0.500 0.000 1
Ge1 0.000 0.500 0.879 1
Ge2 0.500 0.500 0.500 1
```


No. 4
# PmIn2Ni2Ge

An optimized crystal structure of PmIn2Ni2Ge (GGA-PBE, the Alexandria database).

Output
For the density of states at the Fermi level, the calculation gives 3.8 states/eV per cell. The energy comes out at -4.704 eV per atom.

Geometry as CIF:
```
data_PmIn2Ni2Ge
_chemical_formula_sum 'Pm1 In2 Ni2 Ge1'
_space_group_name_H-M_alt 'P 4/m m m'
_space_group_IT_number 123
_space_group_name_Hall '-P 4 2'
_cell_length_a 4.500
_cell_length_b 4.500
_cell_length_c 5.938
_cell_angle_alpha 90.00
_cell_angle_beta 90.00
_cell_angle_gamma 90.00
loop_
_atom_site_label
_atom_site_fract_x
_atom_site_fract_y
_atom_site_fract_z
_atom_site_occupancy
Pm1 0.000 0.000 0.000 1
In1 0.500 0.500 0.240 1
Ni1 0.000 0.500 0.500 1
Ge1 0.000 0.000 0.500 1
```


No. 5
# Pm2InNi3Ge4

An optimized crystal structure of Pm2InNi3Ge4 (GGA-PBE, the Alexandria database).

Output
For the density of states at the Fermi level, the calculation gives 4.2 states/eV per cell. The energy comes out at -5.406 eV per atom.

Geometry as CIF:
```
data_Pm2InNi3Ge4
_chemical_formula_sum 'Pm2 In1 Ni3 Ge4'
_space_group_name_H-M_alt 'P -4 m 2'
_space_group_IT_number 115
_cell_length_a 4.177
_cell_length_b 4.177
_cell_length_c 10.356
_cell_angle_alpha 90.00
_cell_angle_beta 90.00
_cell_angle_gamma 90.00
loop_
_space_group_symop_operation_xyz
'x,y,z'
'y,-x,-z'
'-x,-y,z'
'-y,x,-z'
'-x,y,z'
'-y,-x,-z'
'x,-y,z'
'y,x,-z'
loop_
_atom_site_label
_atom_site_fract_x
_atom_site_fract_y
_atom_site_fract_z
_atom_site_occupancy
Pm1 0.000 0.500 0.232 1
In1 0.000 0.000 0.500 1
Ni1 0.000 0.500 0.885 1
Ni2 0.500 0.500 0.500 1
Ge1 0.000 0.000 0.000 1
Ge2 0.000 0.500 0.660 1
Ge3 0.500 0.500 0.000 1
```


No. 6
# PrInNi5Ge2

An optimized crystal structure of PrInNi5Ge2 (GGA-PBE, the Alexandria database).

Output
For the density of states at the Fermi level, the calculation gives 5.6 states/eV per cell. The energy comes out at -5.184 eV per atom.

Geometry as CIF:
```
data_PrInNi5Ge2
_chemical_formula_sum 'Pr1 In1 Ni5 Ge2'
_space_group_name_H-M_alt 'P 4/m m m'
_space_group_IT_number 123
_space_group_name_Hall '-P 4 2'
_cell_length_a 4.412
_cell_length_b 4.412
_cell_length_c 7.465
_cell_angle_alpha 90.00
_cell_angle_beta 90.00
_cell_angle_gamma 90.00
loop_
_atom_site_label
_atom_site_fract_x
_atom_site_fract_y
_atom_site_fract_z
_atom_site_occupancy
Pr1 0.000 0.000 0.000 1
In1 0.000 0.000 0.500 1
Ni1 0.000 0.500 0.234 1
Ni2 0.500 0.500 0.000 1
Ge1 0.500 0.500 0.333 1
```